[1]
An optimized crystal structure of La3Pm3Cd2Co, computed with PBE.

Summary:
Space group = No. 189
Volume = 29.2 Å³ per atom
E_form = -179.8 meV/atom
Crystal system = hexagonal

```
data_La3Pm3Cd2Co
_space_group_name_H-M_alt 'P 1'
_space_group_IT_number 1
_cell_length_a 8.9462
_cell_length_b 8.9462
_cell_length_c 3.7905
_cell_angle_alpha 90.00
_cell_angle_beta 90.00
_cell_angle_gamma 120.00
loop_
_space_group_symop_operation_xyz
'x,y,z'
loop_
_atom_site_label
_atom_site_type_symbol
_atom_site_fract_x
_atom_site_fract_y
_atom_site_fract_z
_atom_site_occupancy
La1 La 0.0000 0.2320 0.0000 1
La2 La 0.2320 0.0000 0.0000 1
La3 La 0.7680 0.7680 0.0000 1
Pm1 Pm 0.0000 0.5953 0.5000 1
Pm2 Pm 0.4047 0.4047 0.5000 1
Pm3 Pm 0.5953 0.0000 0.5000 1
Cd1 Cd 0.3333 0.6667 0.0000 1
Cd2 Cd 0.6667 0.3333 0.0000 1
Co1 Co 0.0000 0.0000 0.5000 1
```

***

[2]
An optimized crystal structure of Na2PuNpO4, computed with PBE.

Summary:
Space group = No. 10
Volume = 15.0 Å³ per atom
Formation energy from raw total energies = -2.3301 eV/atom
Crystal system = monoclinic

```
data_Na2PuNpO4
_space_group_name_H-M_alt 'P 1'
_space_group_IT_number 1
_cell_length_a 5.9927
_cell_length_b 3.5002
_cell_length_c 6.0717
_cell_angle_alpha 90.00
_cell_angle_beta 109.69
_cell_angle_gamma 90.00
loop_
_space_group_symop_operation_xyz
'x,y,z'
loop_
_atom_site_label
_atom_site_type_symbol
_atom_site_fract_x
_atom_site_fract_y
_atom_site_fract_z
_atom_site_occupancy
Na1 Na 0.0000 0.0000 0.0000 1
Na2 Na 0.0000 0.5000 0.5000 1
Pu1 Pu 0.5000 0.0000 0.5000 1
Np1 Np 0.5000 0.5000 0.0000 1
O1 O 0.2836 0.0000 0.7675 1
O2 O 0.2843 0.5000 0.2537 1
O3 O 0.7164 0.0000 0.2325 1
O4 O 0.7157 0.5000 0.7463 1
```

***

[3]
An optimized crystal structure of LaZrOs, computed with PBE.

Summary:
Space group = No. 129
Volume = 24.4 Å³ per atom
E_form = -271.7 meV/atom
Crystal system = tetragonal
Energy above the lowest structure with this stoichiometry = 0 kJ/mol of formula units

```
data_LaZrOs
_space_group_name_H-M_alt 'P 1'
_space_group_IT_number 1
_cell_length_a 4.6659
_cell_length_b 4.6659
_cell_length_c 6.7308
_cell_angle_alpha 90.00
_cell_angle_beta 90.00
_cell_angle_gamma 90.00
loop_
_space_group_symop_operation_xyz
'x,y,z'
loop_
_atom_site_label
_atom_site_type_symbol
_atom_site_fract_x
_atom_site_fract_y
_atom_site_fract_z
_atom_site_occupancy
La1 La 0.2500 0.2500 0.1265 1
La2 La 0.7500 0.7500 0.8735 1
Zr1 Zr 0.2500 0.7500 0.5000 1
Zr2 Zr 0.7500 0.2500 0.5000 1
Os1 Os 0.2500 0.2500 0.7147 1
Os2 Os 0.7500 0.7500 0.2853 1
```

***

[4]
An optimized crystal structure of TaCu2W, computed with PBE.

Summary:
Space group = No. 65
Volume = 14.6 Å³ per atom
E_form = 241.4 meV/atom
Crystal system = orthorhombic
Energy above the lowest structure with this stoichiometry = 39 kJ/mol of formula units

```
data_TaCu2W
_space_group_name_H-M_alt 'P 1'
_space_group_IT_number 1
_cell_length_a 5.4943
_cell_length_b 7.6766
_cell_length_c 2.7635
_cell_angle_alpha 90.00
_cell_angle_beta 90.00
_cell_angle_gamma 90.00
loop_
_space_group_symop_operation_xyz
'x,y,z'
loop_
_atom_site_label
_atom_site_type_symbol
_atom_site_fract_x
_atom_site_fract_y
_atom_site_fract_z
_atom_site_occupancy
Ta1 Ta 0.0000 0.0000 0.0000 1
Ta2 Ta 0.5000 0.5000 0.0000 1
Cu1 Cu 0.2500 0.2500 0.5000 1
Cu2 Cu 0.2500 0.7500 0.5000 1
Cu3 Cu 0.7500 0.2500 0.5000 1
Cu4 Cu 0.7500 0.7500 0.5000 1
W1 W 0.0000 0.5000 0.0000 1
W2 W 0.5000 0.0000 0.0000 1
```

***

[5]
An optimized crystal structure of Rb2TlCdCl5, computed with PBE.

Summary:
Space group = No. 71
Volume = 33.7 Å³ per atom
Formation energy from raw total energies = -1.4330 eV/atom
Crystal system = orthorhombic

```
data_Rb2TlCdCl5
_space_group_name_H-M_alt 'P 1'
_space_group_IT_number 1
_cell_length_a 9.0531
_cell_length_b 9.0531
_cell_length_c 9.0531
_cell_angle_alpha 146.82
_cell_angle_beta 131.07
_cell_angle_gamma 60.40
loop_
_space_group_symop_operation_xyz
'x,y,z'
loop_
_atom_site_label
_atom_site_type_symbol
_atom_site_fract_x
_atom_site_fract_y
_atom_site_fract_z
_atom_site_occupancy
Rb1 Rb 0.2061 0.2061 0.0000 1
Rb2 Rb 0.7939 0.7939 0.0000 1
Tl1 Tl 0.5000 0.0000 0.5000 1
Cd1 Cd 0.0000 0.5000 0.5000 1
Cl1 Cl 0.0000 0.0000 0.0000 1
Cl2 Cl 0.1281 0.3781 0.7500 1
Cl3 Cl 0.3718 0.6219 0.7500 1
Cl4 Cl 0.6282 0.3781 0.2500 1
Cl5 Cl 0.8719 0.6219 0.2500 1
```

***

[6]
An optimized crystal structure of HfSb3S, computed with PBE.

Summary:
Space group = No. 221
Volume = 26.5 Å³ per atom
Formation energy from raw total energies = 0.5354 eV/atom
Crystal system = cubic
Energy above the lowest structure with this stoichiometry = 4 kJ/mol of formula units

```
data_HfSb3S
_space_group_name_H-M_alt 'P 1'
_space_group_IT_number 1
_cell_length_a 5.0979
_cell_length_b 5.0979
_cell_length_c 5.0979
_cell_angle_alpha 90.00
_cell_angle_beta 90.00
_cell_angle_gamma 90.00
loop_
_space_group_symop_operation_xyz
'x,y,z'
loop_
_atom_site_label
_atom_site_type_symbol
_atom_site_fract_x
_atom_site_fract_y
_atom_site_fract_z
_atom_site_occupancy
Hf1 Hf 0.0000 0.0000 0.0000 1
Sb1 Sb 0.0000 0.5000 0.5000 1
Sb2 Sb 0.5000 0.0000 0.5000 1
Sb3 Sb 0.5000 0.5000 0.0000 1
S1 S 0.5000 0.5000 0.5000 1
```

***

[7]
An optimized crystal structure of Pr2MgSiPd6, computed with PBE.

Summary:
Space group = No. 2
Volume = 20.4 Å³ per atom
Formation energy from raw total energies = -0.6520 eV/atom
Crystal system = triclinic

```
data_Pr2MgSiPd6
_space_group_name_H-M_alt 'P 1'
_space_group_IT_number 1
_cell_length_a 5.6109
_cell_length_b 6.3785
_cell_length_c 6.9563
_cell_angle_alpha 82.62
_cell_angle_beta 66.23
_cell_angle_gamma 64.02
loop_
_space_group_symop_operation_xyz
'x,y,z'
loop_
_atom_site_label
_atom_site_type_symbol
_atom_site_fract_x
_atom_site_fract_y
_atom_site_fract_z
_atom_site_occupancy
Pr1 Pr 0.0240 0.2314 0.2172 1
Pr2 Pr 0.9760 0.7686 0.7828 1
Mg1 Mg 0.5000 0.5000 0.0000 1
Si1 Si 0.5000 0.0000 0.5000 1
Pd1 Pd 0.0186 0.2254 0.7419 1
Pd2 Pd 0.3502 0.3976 0.3976 1
Pd3 Pd 0.4803 0.7750 0.2615 1
Pd4 Pd 0.5197 0.2250 0.7385 1
Pd5 Pd 0.6498 0.6024 0.6024 1
Pd6 Pd 0.9814 0.7746 0.2581 1
```

***

[8]
An optimized crystal structure of ZnTe2Au, computed with PBE.

Summary:
Space group = No. 44
Volume = 32.5 Å³ per atom
Formation energy from raw total energies = -0.0315 eV/atom
Crystal system = orthorhombic

```
data_ZnTe2Au
_space_group_name_H-M_alt 'P 1'
_space_group_IT_number 1
_cell_length_a 4.4711
_cell_length_b 6.9102
_cell_length_c 8.4049
_cell_angle_alpha 90.00
_cell_angle_beta 90.00
_cell_angle_gamma 90.00
loop_
_space_group_symop_operation_xyz
'x,y,z'
loop_
_atom_site_label
_atom_site_type_symbol
_atom_site_fract_x
_atom_site_fract_y
_atom_site_fract_z
_atom_site_occupancy
Zn1 Zn 0.0000 0.0000 0.0000 1
Zn2 Zn 0.5000 0.5000 0.5000 1
Te1 Te 0.0000 0.0000 0.6540 1
Te2 Te 0.0000 0.5000 0.6778 1
Te3 Te 0.5000 0.0000 0.1778 1
Te4 Te 0.5000 0.5000 0.1540 1
Au1 Au 0.0000 0.5000 0.3375 1
Au2 Au 0.5000 0.0000 0.8375 1
```

***

[9]
An optimized crystal structure of LiCoSb2, computed with PBE.

Summary:
Space group = No. 10
Volume = 18.9 Å³ per atom
Formation energy from raw total energies = -0.1067 eV/atom
Crystal system = monoclinic
Energy above the lowest structure with this stoichiometry = 18 kJ/mol of formula units

```
data_LiCoSb2
_space_group_name_H-M_alt 'P 1'
_space_group_IT_number 1
_cell_length_a 3.1618
_cell_length_b 3.1489
_cell_length_c 7.5933
_cell_angle_alpha 90.00
_cell_angle_beta 90.40
_cell_angle_gamma 90.00
loop_
_space_group_symop_operation_xyz
'x,y,z'
loop_
_atom_site_label
_atom_site_type_symbol
_atom_site_fract_x
_atom_site_fract_y
_atom_site_fract_z
_atom_site_occupancy
Li1 Li 0.0000 0.0000 0.0000 1
Co1 Co 0.0000 0.0000 0.5000 1
Sb1 Sb 0.4984 0.5000 0.2882 1
Sb2 Sb 0.5016 0.5000 0.7118 1
```

***

[10]
An optimized crystal structure of Ni2AsPt, computed with PBE.

Summary:
Space group = No. 12
Volume = 13.6 Å³ per atom
E_form = -54.0 meV/atom
Crystal system = monoclinic

```
data_Ni2AsPt
_space_group_name_H-M_alt 'P 1'
_space_group_IT_number 1
_cell_length_a 7.6689
_cell_length_b 2.8371
_cell_length_c 5.1098
_cell_angle_alpha 90.00
_cell_angle_beta 101.81
_cell_angle_gamma 90.00
loop_
_space_group_symop_operation_xyz
'x,y,z'
loop_
_atom_site_label
_atom_site_type_symbol
_atom_site_fract_x
_atom_site_fract_y
_atom_site_fract_z
_atom_site_occupancy
Ni1 Ni 0.2428 0.0000 0.2136 1
Ni2 Ni 0.2572 0.5000 0.7864 1
Ni3 Ni 0.7428 0.5000 0.2136 1
Ni4 Ni 0.7572 0.0000 0.7864 1
As1 As 0.0000 0.5000 0.0000 1
As2 As 0.5000 0.0000 0.0000 1
Pt1 Pt 0.0000 0.0000 0.5000 1
Pt2 Pt 0.5000 0.5000 0.5000 1
```

***

[11]
An optimized crystal structure of TaBeTeI2, computed with PBE.

Summary:
Space group = No. 123
Volume = 33.9 Å³ per atom
Formation energy from raw total energies = 0.7120 eV/atom
Crystal system = tetragonal
Energy above the lowest structure with this stoichiometry = 0 kJ/mol of formula units

```
data_TaBeTeI2
_space_group_name_H-M_alt 'P 1'
_space_group_IT_number 1
_cell_length_a 5.6138
_cell_length_b 5.6138
_cell_length_c 5.3795
_cell_angle_alpha 90.00
_cell_angle_beta 90.00
_cell_angle_gamma 90.00
loop_
_space_group_symop_operation_xyz
'x,y,z'
loop_
_atom_site_label
_atom_site_type_symbol
_atom_site_fract_x
_atom_site_fract_y
_atom_site_fract_z
_atom_site_occupancy
Ta1 Ta 0.0000 0.0000 0.0000 1
Be1 Be 0.5000 0.5000 0.5000 1
Te1 Te 0.0000 0.0000 0.5000 1
I1 I 0.0000 0.5000 0.0000 1
I2 I 0.5000 0.0000 0.0000 1
```

***

[12]
An optimized crystal structure of Ac2LaPt6, computed with PBE.

Summary:
Space group = No. 191
Volume = 24.2 Å³ per atom
E_form = -1015.8 meV/atom
Crystal system = hexagonal

```
data_Ac2LaPt6
_space_group_name_H-M_alt 'P 1'
_space_group_IT_number 1
_cell_length_a 7.8805
_cell_length_b 7.8805
_cell_length_c 4.0549
_cell_angle_alpha 90.00
_cell_angle_beta 90.00
_cell_angle_gamma 120.00
loop_
_space_group_symop_operation_xyz
'x,y,z'
loop_
_atom_site_label
_atom_site_type_symbol
_atom_site_fract_x
_atom_site_fract_y
_atom_site_fract_z
_atom_site_occupancy
Ac1 Ac 0.3333 0.6667 0.0000 1
Ac2 Ac 0.6667 0.3333 0.0000 1
La1 La 0.0000 0.0000 0.0000 1
Pt1 Pt 0.0000 0.3320 0.5000 1
Pt2 Pt 0.0000 0.6680 0.5000 1
Pt3 Pt 0.3320 0.0000 0.5000 1
Pt4 Pt 0.3320 0.3320 0.5000 1
Pt5 Pt 0.6680 0.0000 0.5000 1
Pt6 Pt 0.6680 0.6680 0.5000 1
```